1.
Material: Sr2Sn2Ge
Method: DFT, PBE-GGA
State: optimized geometry

## Properties
The formation energy comes out at -0.458 eV per atom. The calculated total energy comes out at -3.66 eV/atom. Its volume is 313 Å³/cell. For the density of states at the Fermi level, the calculation gives 5.489 states/eV per cell. Its total magnetization is 0.000 μB per formula unit.

abc: 7.9025 7.9025 5.0187
angles: 90.00 90.00 90.00
With the nearest neighbours (Å) after each atom.
Atoms (fractional coordinates):
Sr  0.1726  0.3274  0.0000  6 Sn 3.32-3.49
Sr  0.3274  0.8274  0.0000  6 Sn 3.32-3.49
Sr  0.6726  0.1726  0.0000  6 Sn 3.32-3.49
Sr  0.8274  0.6726  0.0000  6 Sn 3.32-3.49
Sn  0.1325  0.6324  0.5000  1 Sn 2.96, 2 Ge 3.09
Sn  0.3676  0.1325  0.5000  1 Sn 2.96, 2 Ge 3.09
Sn  0.6324  0.8676  0.5000  1 Sn 2.96, 2 Ge 3.09
Sn  0.8676  0.3676  0.5000  1 Sn 2.96, 2 Ge 3.09
Ge  0.0000  0.0000  0.5000  4 Sn 3.09
Ge  0.5000  0.5000  0.5000  4 Sn 3.09

***

2.
Material: Na2AgHg2Pd5
Method: DFT, PBE-GGA
State: optimized geometry

## Properties
The formation energy comes out at -0.091 eV per atom. The calculated total energy comes out at -3.30 eV/atom. Its volume is 384 Å³/cell. For the density of states at the Fermi level, the calculation gives 8.128 states/eV per cell. Its total magnetization is 0.000 μB per formula unit.

abc: 9.5116 9.5116 4.2473
angles: 90.00 90.00 90.00
With the nearest neighbours (Å) after each atom.
Atoms (fractional coordinates):
Na  0.1701  0.3299  0.0000  3 Hg 2.70-2.88
Na  0.3299  0.8299  0.0000  3 Hg 2.70-2.88
Na  0.6701  0.1701  0.0000  3 Hg 2.70-2.88
Na  0.8299  0.6701  0.0000  3 Hg 2.70-2.88
Ag  0.0000  0.0000  0.0000  8 Pd 2.90
Ag  0.5000  0.5000  0.0000  8 Pd 2.90
Hg  0.1295  0.6295  0.0000  3 Na 2.70-2.88, 6 Pd 2.75-2.76
Hg  0.3705  0.1295  0.0000  3 Na 2.70-2.88, 6 Pd 2.75-2.76
Hg  0.6295  0.8705  0.0000  3 Na 2.70-2.88, 6 Pd 2.75-2.76
Hg  0.8705  0.3705  0.0000  3 Na 2.70-2.88, 6 Pd 2.75-2.76
Pd  0.0000  0.5000  0.5000  4 Hg 2.75, 4 Pd 2.95
Pd  0.0659  0.8036  0.5000  2 Hg 2.76, 3 Pd 2.79-2.95, 2 Ag 2.90
Pd  0.1964  0.0659  0.5000  2 Hg 2.76, 3 Pd 2.79-2.95, 2 Ag 2.90
Pd  0.3036  0.5659  0.5000  2 Hg 2.76, 3 Pd 2.79-2.95, 2 Ag 2.90
Pd  0.4341  0.3036  0.5000  2 Hg 2.76, 3 Pd 2.79-2.95, 2 Ag 2.90
Pd  0.5000  0.0000  0.5000  4 Hg 2.75, 4 Pd 2.95
Pd  0.5659  0.6964  0.5000  2 Hg 2.76, 3 Pd 2.79-2.95, 2 Ag 2.90
Pd  0.6964  0.4341  0.5000  2 Hg 2.76, 3 Pd 2.79-2.95, 2 Ag 2.90
Pd  0.8036  0.9341  0.5000  2 Hg 2.76, 3 Pd 2.79-2.95, 2 Ag 2.90
Pd  0.9341  0.1964  0.5000  2 Hg 2.76, 3 Pd 2.79-2.95, 2 Ag 2.90

***

Q: The highest volume belongs to which entry?
A: Na2AgHg2Pd5

***

Q: Which value of total magnetization does entry 2 give?
A: 0.000 μB per formula unit